(1)
A relaxed structure of TmMg4Pd7. Source: Alexandria, functional PBE.

Geometry as POSCAR:
```
TmMg4Pd7
1.0
-1.430 4.087 -2.404
-8.713 -0.063 -0.025
-1.038 4.664 3.445
Tm Mg Pd
1 4 7
direct
0.000 0.000 0.000
0.588 0.230 0.594
0.412 0.770 0.406
0.754 0.663 0.830
0.246 0.337 0.170
0.782 0.916 0.520
0.218 0.084 0.480
0.063 0.667 0.208
0.937 0.333 0.792
0.359 0.528 0.754
0.500 0.000 0.000
0.641 0.472 0.246
```

- ΔE_f: -0.51 eV/atom

(2)
A relaxed structure of Nd12Ho6Tl. Source: Alexandria, functional PBE.

Geometry as POSCAR:
```
Nd12Ho6Tl
1.0
-2.180 4.282 -7.181
3.073 -6.357 -4.980
-7.727 -3.860 -0.211
Nd Ho Tl
12 6 1
direct
0.785 0.537 0.431
0.431 0.785 0.537
0.537 0.431 0.785
0.215 0.463 0.569
0.569 0.215 0.463
0.463 0.569 0.215
0.017 0.180 0.365
0.820 0.635 0.983
0.635 0.983 0.820
0.983 0.820 0.635
0.180 0.365 0.017
0.365 0.017 0.180
0.744 0.900 0.285
0.715 0.256 0.100
0.100 0.715 0.256
0.256 0.100 0.715
0.285 0.744 0.900
0.900 0.285 0.744
0.000 0.000 0.000
```

- ΔE_f: 0.08 eV/atom

(3)
A relaxed structure of AlInAgSn. Source: Alexandria, functional PBE.

Geometry as POSCAR:
```
AlInAgSn
1.0
5.038 0.000 0.000
2.519 4.363 0.000
2.519 1.454 4.114
Al Sn Ag In
1 1 1 1
direct
0.500 0.500 0.500
0.250 0.250 0.250
0.000 0.000 0.000
0.750 0.750 0.750
```

- ΔE_f: 0.19 eV/atom

(4)
A relaxed structure of Rb2PRhCl6. Source: Alexandria, functional PBE.

Geometry as POSCAR:
```
Rb2PRhCl6
1.0
7.282 0.000 0.000
0.000 7.282 0.000
3.641 3.641 4.547
P Rh Rb Cl
1 1 2 6
direct
0.500 0.500 0.000
0.000 0.000 0.000
0.750 0.250 0.500
0.250 0.750 0.500
0.255 0.255 0.491
0.745 0.745 0.509
0.245 0.245 0.000
0.755 0.755 0.000
0.755 0.245 0.000
0.245 0.755 0.000
```

- E_form (uncorrected): -8.99 eV per formula unit

(5)
A relaxed structure of BeGe3As4. Source: Alexandria, functional PBE.

Geometry as POSCAR:
```
BeGe3As4
1.0
-1.990 1.015 -5.361
0.439 -5.658 -1.234
-4.408 1.533 5.072
Be Ge As
1 3 4
direct
0.000 0.000 0.000
0.500 0.500 0.000
0.750 0.250 0.500
0.250 0.750 0.500
0.344 0.344 0.236
0.891 0.891 0.236
0.109 0.656 0.764
0.656 0.109 0.764
```

- ΔE_f: 0.04 eV/atom

(6)
A relaxed structure of Ac2LuHg. Source: Alexandria, functional PBE.

Geometry as POSCAR:
```
Ac2LuHg
1.0
5.806 0.000 0.000
2.903 5.028 0.000
2.903 1.676 4.740
Ac Lu Hg
2 1 1
direct
0.250 0.250 0.250
0.750 0.750 0.750
0.500 0.500 0.500
0.000 0.000 0.000
```

- ΔE_f: -0.06 eV/atom
- Excess energy over the best structure of this formula in the dataset: 112 meV per atom

(7)
A relaxed structure of Ac3La8Pm2. Source: Alexandria, functional PBE.

Geometry as POSCAR:
```
Ac3La8Pm2
1.0
6.122 0.297 1.331
1.846 8.969 1.905
0.688 -0.400 9.319
Ac La Pm
3 8 2
direct
0.500 0.000 0.000
0.000 0.248 0.752
0.000 0.752 0.248
0.254 0.572 0.572
0.746 0.428 0.428
0.932 0.168 0.168
0.068 0.832 0.832
0.684 0.574 0.057
0.684 0.057 0.574
0.316 0.943 0.426
0.316 0.426 0.943
0.350 0.312 0.312
0.650 0.688 0.688
```

- ΔE_f: 0.12 eV/atom
- Excess energy over the best structure of this formula in the dataset: 0 meV per atom

(8)
A relaxed structure of LaRhNF2. Source: Alexandria, functional PBE.

Geometry as POSCAR:
```
LaRhNF2
1.0
4.580 0.000 0.000
0.000 4.580 0.000
0.000 0.000 4.752
N F Rh La
1 2 1 1
direct
0.000 0.000 0.500
0.000 0.500 0.000
0.500 0.000 0.000
0.500 0.500 0.500
0.000 0.000 0.000
```

- Excess energy over the best structure of this formula in the dataset: 332 meV per atom
- E_form (uncorrected): -4.63 eV per formula unit

(9)
A relaxed structure of NaCeIn4S8. Source: Alexandria, functional PBE.

Geometry as POSCAR:
```
NaCeIn4S8
1.0
-4.538 -5.899 -2.659
3.239 -6.989 -1.768
-1.428 -6.327 4.730
Na Ce In S
1 1 4 8
direct
0.371 0.371 0.888
0.005 0.005 0.985
0.626 0.626 0.122
0.005 0.484 0.506
0.484 0.005 0.506
0.005 0.005 0.506
0.248 0.777 0.726
0.777 0.248 0.726
0.248 0.248 0.726
0.236 0.236 0.291
0.752 0.228 0.269
0.228 0.752 0.269
0.752 0.752 0.269
0.763 0.763 0.711
```

- E_form (uncorrected): -11.93 eV per formula unit

(10)
A relaxed structure of Si2SnS. Source: Alexandria, functional PBE.

Geometry as POSCAR:
```
Si2SnS
1.0
0.000 3.338 3.338
3.338 0.000 3.338
3.338 3.338 0.000
S Si Sn
1 2 1
direct
0.000 0.000 0.000
0.250 0.250 0.250
0.750 0.750 0.750
0.500 0.500 0.500
```

- Excess energy over the best structure of this formula in the dataset: 203 meV per atom
- E_form (uncorrected): 2.31 eV per formula unit

(11)
A relaxed structure of NpAlO2. Source: Alexandria, functional PBE.

Geometry as POSCAR:
```
NpAlO2
1.0
-1.901 1.064 1.951
-2.874 -0.223 -0.488
-1.667 -5.647 3.646
Np Al O
1 1 2
direct
0.000 0.000 0.000
0.500 0.500 0.500
0.118 0.118 0.645
0.882 0.882 0.355
```

- E_form (uncorrected): -8.77 eV per formula unit

(12)
A relaxed structure of Ti6Bi2H. Source: Alexandria, functional PBE.

Geometry as POSCAR:
```
Ti6Bi2H
1.0
4.895 0.094 0.054
0.170 6.029 0.103
0.170 3.093 5.176
Ti Bi H
6 2 1
direct
0.252 0.310 0.838
0.213 0.828 0.828
0.252 0.838 0.310
0.748 0.690 0.162
0.787 0.172 0.172
0.748 0.162 0.690
0.731 0.668 0.668
0.269 0.332 0.332
0.000 0.000 0.000
```

- Excess energy over the best structure of this formula in the dataset: 11 meV per atom

(13)
A relaxed structure of Mg5BePt6. Source: Alexandria, functional PBE.

Geometry as POSCAR:
```
Mg5BePt6
1.0
-1.560 -3.830 0.740
6.625 -1.022 -3.248
0.340 3.441 6.598
Be Mg Pt
1 5 6
direct
0.000 0.000 0.000
0.500 0.174 0.826
0.000 0.339 0.661
0.500 0.500 0.500
0.000 0.661 0.339
0.500 0.826 0.174
0.236 0.075 0.397
0.764 0.603 0.925
0.724 0.224 0.224
0.276 0.776 0.776
0.236 0.397 0.075
0.764 0.925 0.603
```

- ΔE_f: -0.82 eV/atom

(14)
A relaxed structure of Ba4B2N4O. Source: Alexandria, functional PBE.

Geometry as POSCAR:
```
Ba4B2N4O
1.0
8.769 -0.004 0.000
-5.662 6.696 0.000
0.000 0.000 7.417
Ba B N O
8 4 8 2
direct
0.326 0.674 0.500
0.694 0.694 0.193
0.306 0.306 0.807
0.194 0.194 0.307
0.826 0.174 0.000
0.674 0.326 0.500
0.806 0.806 0.693
0.174 0.826 0.000
0.363 0.637 0.000
0.637 0.363 0.000
0.137 0.863 0.500
0.863 0.137 0.500
0.995 0.264 0.628
0.764 0.495 0.872
0.495 0.764 0.872
0.505 0.236 0.128
0.005 0.736 0.372
0.264 0.995 0.628
0.736 0.005 0.372
0.236 0.505 0.128
0.500 0.500 0.500
0.000 0.000 0.000
```

- E_form (uncorrected): -14.01 eV per formula unit

(15)
A relaxed structure of CsK2GeAu. Source: Alexandria, functional PBE.

Geometry as POSCAR:
```
CsK2GeAu
1.0
6.650 0.000 0.000
0.000 6.650 0.000
0.000 0.000 4.915
Cs Ge Au K
1 1 1 2
direct
0.500 0.500 0.500
0.000 0.000 0.000
0.000 0.000 0.500
0.000 0.500 0.000
0.500 0.000 0.000
```

- ΔE_f: -0.03 eV/atom

(16)
A relaxed structure of Hf2MnAg. Source: Alexandria, functional PBE.

Geometry as POSCAR:
```
Hf2MnAg
1.0
4.107 0.000 0.000
0.000 4.107 0.000
2.054 2.054 9.695
Mn Hf Ag
2 4 2
direct
0.500 0.500 0.000
0.250 0.750 0.500
0.618 0.125 0.250
0.132 0.625 0.250
0.375 0.382 0.750
0.875 0.868 0.750
0.000 0.000 0.000
0.750 0.250 0.500
```

- ΔE_f: 0.64 eV/atom
- Excess energy over the best structure of this formula in the dataset: 761 meV per atom

(17)
A relaxed structure of LiMg14Sc. Source: Alexandria, functional PBE.

Geometry as POSCAR:
```
LiMg14Sc
1.0
-5.344 -2.421 -2.763
2.041 -6.012 1.319
-4.105 0.292 7.683
Li Mg Sc
1 14 1
direct
0.375 0.375 0.500
0.875 0.875 0.000
0.375 0.375 0.000
0.875 0.375 0.500
0.875 0.375 0.000
0.375 0.875 0.500
0.375 0.875 0.000
0.625 0.125 0.250
0.625 0.125 0.750
0.125 0.625 0.250
0.125 0.625 0.750
0.625 0.625 0.250
0.625 0.625 0.750
0.125 0.125 0.250
0.125 0.125 0.750
0.875 0.875 0.500
```

- ΔE_f: -0.01 eV/atom

(18)
A relaxed structure of TbPm2Hf. Source: Alexandria, functional PBE.

Geometry as POSCAR:
```
TbPm2Hf
1.0
3.379 0.000 0.000
1.690 2.926 0.000
1.690 0.975 12.178
Tb Hf Pm
1 1 2
direct
0.500 0.500 0.500
0.000 0.000 0.000
0.085 0.085 0.744
0.915 0.915 0.256
```

- ΔE_f: 0.38 eV/atom
- Excess energy over the best structure of this formula in the dataset: 224 meV per atom

(19)
A relaxed structure of Tb2Y2Ho3. Source: Alexandria, functional PBE.

Geometry as POSCAR:
```
Tb2Y2Ho3
1.0
3.377 -0.989 0.100
-1.726 12.921 0.634
0.105 0.902 5.383
Tb Y Ho
2 2 3
direct
0.738 0.158 0.421
0.262 0.842 0.579
0.428 0.285 0.858
0.572 0.715 0.142
0.000 0.000 0.000
0.674 0.449 0.275
0.326 0.551 0.725
```

- ΔE_f: 0.05 eV/atom
- Excess energy over the best structure of this formula in the dataset: 28 meV per atom

(20)
A relaxed structure of ZnGa6Pd. Source: Alexandria, functional PBE.

Geometry as POSCAR:
```
ZnGa6Pd
1.0
5.193 0.327 -0.167
-1.629 4.942 -0.167
-0.804 -1.189 5.982
Zn Ga Pd
1 6 1
direct
0.000 0.000 0.000
0.183 0.183 0.667
0.626 0.211 0.187
0.817 0.817 0.333
0.789 0.374 0.813
0.374 0.789 0.813
0.211 0.626 0.187
0.500 0.500 0.500
```

- ΔE_f: -0.07 eV/atom

| no. | theoretical density (g cm⁻³) | D(E_F) (states/eV per cell) |
| --- | --- | --- |
| 1 | 7.61 | 3.49 |
| 2 | 7.54 | 30.68 |
| 3 | 6.76 | 3.38 |
| 4 | 3.56 | 3.23 |
| 5 | 4.68 | 4.75 |
| 6 | 9.96 | 5.10 |
| 7 | 6.88 | 23.02 |
| 8 | 4.89 | 3.20 |
| 9 | 4.09 | 3.92 |
| 10 | 4.62 | 2.48 |
| 11 | 9.88 | 0.54 |
| 12 | 7.76 | 11.35 |
| 13 | 11.88 | 3.57 |
| 14 | 4.90 | 0.00 |
| 15 | 3.67 | 2.57 |
| 16 | 10.56 | 9.85 |
| 17 | 1.78 | 7.39 |
| 18 | 8.65 | 5.68 |
| 19 | 7.36 | 12.78 |
| 20 | 6.33 | 2.88 |